Density functional theory data (GGA+U) for crystalline Rb2PaNiO6 at its relaxed geometry.

uncorrected energy: -6.14 eV per atom
size of the total moment: 1.1 Bohr magnetons per cell

a b c (Å): 5.932 5.932 5.932
angles (deg): 119.90 119.90 90.17
Element x y z (fractional)
Rb (0.250, 0.750, 0.500)
Rb (0.750, 0.250, 0.500)
Pa (0.000, 0.000, 0.000)
Ni (0.500, 0.500, 0.000)
O (0.254, 0.254, 0.507)
O (0.254, 0.746, 0.000)
O (0.256, 0.256, 0.000)
O (0.744, 0.744, 0.000)
O (0.746, 0.254, 0.000)
O (0.746, 0.746, 0.493)